A) Crystalline CaY5 at its relaxed geometry. Source: Alexandria via LeMat-Bulk, functional GGA-PBE.

Values from the calculation:
Space-group type: Cm (8)
Crystal system: monoclinic

Cell and atoms, written as CIF:
```
data_CaY5
_chemical_formula_sum 'Ca1 Y5'
_cell_length_a 6.861
_cell_length_b 6.861
_cell_length_c 8.613
_cell_angle_alpha 76.91
_cell_angle_beta 76.91
_cell_angle_gamma 30.95
_space_group_name_H-M_alt 'P 1'
_space_group_IT_number 1
loop_
_space_group_symop_operation_xyz
'x,y,z'
loop_
_atom_site_label
_atom_site_fract_x
_atom_site_fract_y
_atom_site_fract_z
_atom_site_occupancy
Y1 0.383 0.383 0.715 1
Y2 0.669 0.669 0.660 1
Y3 0.331 0.331 0.339 1
Y4 0.726 0.726 0.060 1
Ca1 0.001 0.001 0.000 1
Y5 0.057 0.057 0.393 1
```

B) Crystalline CaY5 at its relaxed geometry. Source: Alexandria via LeMat-Bulk, functional GGA-PBE.

Values from the calculation:
Space-group type: P4/mmm (123)
Crystal system: tetragonal

Cell and atoms, written as CIF:
```
data_CaY5
_chemical_formula_sum 'Ca1 Y5'
_cell_length_a 3.611
_cell_length_b 3.611
_cell_length_c 15.512
_cell_angle_alpha 90.00
_cell_angle_beta 90.00
_cell_angle_gamma 90.00
_space_group_name_H-M_alt 'P 1'
_space_group_IT_number 1
loop_
_space_group_symop_operation_xyz
'x,y,z'
loop_
_atom_site_label
_atom_site_fract_x
_atom_site_fract_y
_atom_site_fract_z
_atom_site_occupancy
Y1 0.000 0.000 0.000 1
Y2 0.000 0.000 0.681 1
Ca1 0.500 0.500 0.500 1
Y3 0.500 0.500 0.837 1
Y4 0.000 0.000 0.319 1
Y5 0.500 0.500 0.163 1
```

Quick one: most stable of them? A)

A) Crystalline CaY5 at its relaxed geometry. Source: Alexandria via LeMat-Bulk, functional GGA-PBE.

Values from the calculation:
Space-group type: Cmmm (65)
Crystal system: orthorhombic

Cell and atoms, written as CIF:
```
data_CaY5
_chemical_formula_sum 'Ca1 Y5'
_cell_length_a 3.931
_cell_length_b 5.742
_cell_length_c 9.365
_cell_angle_alpha 107.85
_cell_angle_beta 90.00
_cell_angle_gamma 90.00
_space_group_name_H-M_alt 'P 1'
_space_group_IT_number 1
loop_
_space_group_symop_operation_xyz
'x,y,z'
loop_
_atom_site_label
_atom_site_fract_x
_atom_site_fract_y
_atom_site_fract_z
_atom_site_occupancy
Y1 0.000 0.319 0.638 1
Y2 0.500 0.500 0.000 1
Y3 0.500 0.155 0.309 1
Y4 0.500 0.845 0.691 1
Y5 0.000 0.681 0.362 1
Ca1 0.000 0.000 0.000 1
```

B) Crystalline CaY5 at its relaxed geometry. Source: Alexandria via LeMat-Bulk, functional GGA-PBE.

Values from the calculation:
Space-group type: F-43m (216)
Crystal system: cubic

Cell and atoms, written as CIF:
```
data_CaY5
_chemical_formula_sum 'Ca1 Y5'
_cell_length_a 6.690
_cell_length_b 6.690
_cell_length_c 6.690
_cell_angle_alpha 60.00
_cell_angle_beta 60.00
_cell_angle_gamma 60.00
_space_group_name_H-M_alt 'P 1'
_space_group_IT_number 1
loop_
_space_group_symop_operation_xyz
'x,y,z'
loop_
_atom_site_label
_atom_site_fract_x
_atom_site_fract_y
_atom_site_fract_z
_atom_site_occupancy
Y1 0.623 0.623 0.623 1
Y2 0.250 0.250 0.250 1
Ca1 0.000 0.000 0.000 1
Y3 0.130 0.623 0.623 1
Y4 0.623 0.623 0.130 1
Y5 0.623 0.130 0.623 1
```

Quick one: most stable of them? A)

A) Crystalline CaY5 at its relaxed geometry. Source: Alexandria via LeMat-Bulk, functional GGA-PBE.

Values from the calculation:
Space-group type: Amm2 (38)
Crystal system: orthorhombic

Cell and atoms, written as CIF:
```
data_CaY5
_chemical_formula_sum 'Ca1 Y5'
_cell_length_a 9.767
_cell_length_b 9.767
_cell_length_c 5.771
_cell_angle_alpha 90.00
_cell_angle_beta 90.00
_cell_angle_gamma 158.47
_space_group_name_H-M_alt 'P 1'
_space_group_IT_number 1
loop_
_space_group_symop_operation_xyz
'x,y,z'
loop_
_atom_site_label
_atom_site_fract_x
_atom_site_fract_y
_atom_site_fract_z
_atom_site_occupancy
Y1 0.670 0.330 0.000 1
Ca1 0.001 0.999 0.000 1
Y2 0.442 0.558 0.500 1
Y3 0.330 0.670 0.000 1
Y4 0.778 0.222 0.500 1
Y5 0.113 0.887 0.500 1
```

B) Crystalline CaY5 at its relaxed geometry. Source: Alexandria via LeMat-Bulk, functional GGA-PBE.

Values from the calculation:
Space-group type: P-62m (189)
Crystal system: hexagonal

Cell and atoms, written as CIF:
```
data_CaY5
_chemical_formula_sum 'Ca1 Y5'
_cell_length_a 6.359
_cell_length_b 6.359
_cell_length_c 5.773
_cell_angle_alpha 90.00
_cell_angle_beta 90.00
_cell_angle_gamma 120.00
_space_group_name_H-M_alt 'P 1'
_space_group_IT_number 1
loop_
_space_group_symop_operation_xyz
'x,y,z'
loop_
_atom_site_label
_atom_site_fract_x
_atom_site_fract_y
_atom_site_fract_z
_atom_site_occupancy
Y1 0.673 0.340 0.000 1
Ca1 0.333 0.000 0.500 1
Y2 0.667 0.667 0.500 1
Y3 0.000 0.333 0.500 1
Y4 0.994 0.000 0.000 1
Y5 0.333 0.660 0.000 1
```

Quick one: most stable of them? A)